Material: Li2CrBr4
Method: DFT, GGA-PBE
State: relaxed

Symmetry: I4/mmm
Density of states at the Fermi level (states/eV/f.u.): 0.31
Size of the total moment (μB/cell): 4.0
Energy relative to the elements, uncorrected (eV per formula unit): -6.77

Unit cell a=5.292 b=5.292 c=7.699 alpha=69.90 beta=69.90 gamma=90.00
Each line ends with the local moment (μB).
Positions (direct):
Br: 0.500 0.000 0.000  -0.01
Br: 0.189 0.189 0.622  0.00
Br: 0.811 0.811 0.378  0.00
Br: 0.000 0.500 0.000  -0.01
Cr: 0.000 0.000 0.000  3.64
Li: 0.630 0.630 0.741  0.00
Li: 0.370 0.370 0.259  0.00